A plane-wave DFT calculation with PBE was carried out for a relaxed structure of Nd7CdBr12.

```
Nd7CdBr12
1.0
9.175 -0.425 -2.951
-3.927 8.304 -2.951
-0.283 -0.425 9.634
Nd Cd Br
7 1 12
Direct
0.943 0.647 0.864
0.353 0.136 0.057
0.136 0.057 0.353
0.500 0.500 0.500
0.864 0.943 0.647
0.647 0.864 0.943
0.057 0.353 0.136
0.000 0.000 0.000
0.924 0.302 0.782
0.698 0.218 0.076
0.485 0.160 0.398
0.840 0.602 0.515
0.218 0.076 0.698
0.602 0.515 0.840
0.398 0.485 0.160
0.782 0.924 0.302
0.160 0.398 0.485
0.515 0.840 0.602
0.302 0.782 0.924
0.076 0.698 0.218
```

Values from the calculation:
density of states at the Fermi level: 9.4 states/eV/cell
space-group type: R-3 (148)
formation energy (no corrections): -1.517 eV per atom
VASP energy: -4.235 eV per atom